No. 1
The following is a PBE calculation of a relaxed structure of AgP2Ir, from Alexandria.

For the relative energy among the computed polymorphs, the calculation gives 0 meV/atom.

The space group is C2/m (No. 12) and the conventional cell measures 7.091, 2.852 and 7.353 Å, with angles of 90.00, 108.40 and 90.00 degrees. The inequivalent atoms are Ag at (0.000, 0.000, 0.000), P at (0.154, 0.500, 0.315) and Ir at (0.000, 0.000, 0.500).

=====

No. 2
The following is a PBE calculation of a relaxed structure of CsSrBr3, from Alexandria.

The formation energy without anion corrections is -1.74 eV per atom.

The space group is I-4m2 (No. 119) and the conventional cell measures 6.887, 6.887 and 20.069 Å, with angles of 90.00, 90.00 and 90.00 degrees. The inequivalent atoms are Cs at (0.000, 0.000, 0.102), Sr at (0.000, 0.000, 0.500), Sr at (0.000, 0.500, 0.250), Br at (0.000, 0.241, 0.362) and Br at (0.000, 0.500, 0.534).

=====

No. 3
The following is a PBE calculation of a relaxed structure of Dy6Y3Ho2Tm, from Alexandria.

The space group is C2/m (No. 12) and the conventional cell measures 6.138, 10.619 and 11.734 Å, with angles of 90.00, 99.99 and 90.00 degrees. The inequivalent atoms are Dy at (0.250, 0.000, 0.248), Dy at (0.250, 0.167, 0.752), Y at (0.000, 0.000, 0.500), Y at (0.000, 0.333, 0.500), Ho at (0.000, 0.167, 0.000) and Tm at (0.000, 0.500, 0.000).

=====

Number 1: total DFT energy (no corrections) -5.68 eV/atom, spin magnetization 0.00 μB per formula unit. Number 2: total DFT energy (no corrections) -3.25 eV/atom, spin magnetization 0.00 μB per formula unit. Number 3: total DFT energy (no corrections) -5.03 eV/atom, spin magnetization 0.00 μB per formula unit.